Record 1
Below is a relaxed structure of Tc2IrBr, with properties calculated at the GGA-PBE level.

Results
The space-group type is Pmmm, No. 47. The excess energy over the best structure of this formula in the dataset is 10.2 meV/atom. The value obtained for the total magnetic moment is 0.0 μB per formula unit. As for the formation energy (no corrections): 494 meV per atom. For the calculated volume, the calculation gives 17.579 Å³/atom. The total energy is -7.32 eV/atom.

a = 3.7189 Å, b = 2.8493 Å, c = 6.6359 Å
α = 89.99°, β = 90.00°, γ = 90.00°
Sites, in units of the cell vectors:
1 Ir 0.5000 0.7500 0.7500
2 Tc 0.0000 0.2499 0.9399
3 Tc 0.0000 0.2501 0.5601
4 Br 0.5000 0.2500 0.2500

Record 2
Below is a relaxed structure of TiCdRh2, with properties calculated at the GGA-PBE level.

Results
The space-group type is Immm, No. 71. The value obtained for the total magnetic moment is 0.0 μB per formula unit. For the calculated volume, the calculation gives 17.310 Å³/atom. The total energy is -5.71 eV/atom.

a = 5.8082 Å, b = 5.8082 Å, c = 5.8082 Å
α = 57.65°, β = 152.02°, γ = 130.69°
Sites, in units of the cell vectors:
1 Ti 0.0000 0.0000 0.0000
2 Cd 0.0000 0.5000 0.5000
3 Rh 0.0000 0.2272 0.2272
4 Rh 0.0000 0.7728 0.7728

Record 3
Below is a relaxed structure of HoThCoBr, with properties calculated at the GGA-PBE level.

Results
The space-group type is R3m, No. 160. The value obtained for the total magnetic moment is 0.0 μB per formula unit. As for the formation energy (no corrections): -730 meV per atom. For the calculated volume, the calculation gives 26.458 Å³/atom. The total energy is -5.92 eV/atom.

a = 3.9665 Å, b = 3.9660 Å, c = 8.0990 Å
α = 90.01°, β = 104.17°, γ = 120.00°
Sites, in units of the cell vectors:
1 Ho 0.5110 0.1533 0.6798
2 Th 0.0859 0.9408 0.0421
3 Co 0.3069 0.5513 0.8736
4 Br 0.9741 0.3854 0.3741

Record 4
Below is a relaxed structure of LaY2Sb2, with properties calculated at the GGA-PBE level.

Results
The space-group type is I4/mmm, No. 139. The excess energy over the best structure of this formula in the dataset is 184.1 meV/atom. The value obtained for the total magnetic moment is 0.9 μB per formula unit. As for the formation energy (no corrections): -778 meV per atom. For the calculated volume, the calculation gives 30.597 Å³/atom. The total energy is -6.00 eV/atom.

a = 4.6087 Å, b = 4.6087 Å, c = 7.9057 Å
α = 73.05°, β = 73.05°, γ = 90.00°
Site moments in Bohr magnetons follow the coordinates.
Sites, in units of the cell vectors:
1 Y 0.7500 0.2500 0.5000  0.27
2 Y 0.2500 0.7500 0.5000  0.27
3 Sb 0.3941 0.3941 0.2119  -0.02
4 Sb 0.6059 0.6059 0.7881  -0.02
5 La 0.0000 0.0000 0.0000  0.00

Record 5
Below is a relaxed structure of PuThS3, with properties calculated at the GGA-PBE level.

Results
The space-group type is P-6c2, No. 188. The value obtained for the total magnetic moment is 5.4 μB per formula unit. As for the formation energy (no corrections): -1728 meV per atom. For the calculated volume, the calculation gives 32.761 Å³/atom. The total energy is -8.55 eV/atom.

a = 7.3032 Å, b = 7.1971 Å, c = 7.1971 Å
α = 120.00°, β = 90.00°, γ = 90.00°
Site moments in Bohr magnetons follow the coordinates.
Sites, in units of the cell vectors:
1 Pu 0.0000 0.0000 0.0000  5.25
2 Pu 0.5000 0.0000 0.0000  5.25
3 Th 0.5000 0.6667 0.3333  0.07
4 Th 0.0000 0.6667 0.3333  0.07
5 S 0.7500 0.3328 0.2315  -0.05
6 S 0.7500 0.8987 0.6672  -0.05
7 S 0.7500 0.7685 0.1013  -0.05
8 S 0.2500 0.7685 0.6672  -0.05
9 S 0.2500 0.3328 0.1013  -0.05
10 S 0.2500 0.8987 0.2315  -0.05

Record 6
Below is a relaxed structure of KRe2Te, with properties calculated at the GGA-PBE level.

Results
The space-group type is R3m, No. 160. The value obtained for the total magnetic moment is 0.9 μB per formula unit. As for the formation energy (no corrections): 473 meV per atom. For the calculated volume, the calculation gives 27.427 Å³/atom. The total energy is -6.81 eV/atom.

a = 4.2471 Å, b = 4.2471 Å, c = 7.4380 Å
α = 73.46°, β = 73.46°, γ = 59.98°
Site moments in Bohr magnetons follow the coordinates.
Sites, in units of the cell vectors:
1 K 0.2573 0.2573 0.2278  0.01
2 Re 0.0455 0.0455 0.8639  0.62
3 Re 0.7332 0.7332 0.8006  -0.10
4 Te 0.4641 0.4641 0.6077  0.04

Record 7
Below is a relaxed structure of Re2PBr, with properties calculated at the GGA-PBE level.

Results
The space-group type is Imm2, No. 44. The excess energy over the best structure of this formula in the dataset is 548.4 meV/atom. The value obtained for the total magnetic moment is 0.0 μB per formula unit. As for the formation energy (no corrections): 846 meV per atom. For the calculated volume, the calculation gives 15.651 Å³/atom. The total energy is -7.15 eV/atom.

a = 5.6814 Å, b = 5.6814 Å, c = 5.6814 Å
α = 149.20°, β = 137.89°, γ = 53.07°
Sites, in units of the cell vectors:
1 Br 0.4761 0.4761 0.0000
2 P 0.2181 0.7181 0.5000
3 Re 0.0352 0.0352 0.0000
4 Re 0.7706 0.2706 0.5000

Record 8
Below is a relaxed structure of TmLuSiNi, with properties calculated at the GGA-PBE level.

Results
The space-group type is F-43m, No. 216. The value obtained for the total magnetic moment is 0.0 μB per formula unit. As for the formation energy (no corrections): -516 meV per atom. For the calculated volume, the calculation gives 19.390 Å³/atom. The total energy is -5.57 eV/atom.

a = 4.7869 Å, b = 4.7869 Å, c = 4.7869 Å
α = 60.00°, β = 60.00°, γ = 60.00°
Sites, in units of the cell vectors:
1 Ni 0.7500 0.7500 0.7500
2 Si 0.2500 0.2500 0.2500
3 Lu 0.0000 0.0000 0.0000
4 Tm 0.5000 0.5000 0.5000

Record 9
Below is a relaxed structure of TbPm15Nd4, with properties calculated at the GGA-PBE level.

Results
The space-group type is P4/mmm, No. 123. The value obtained for the total magnetic moment is 0.0 μB per formula unit. For the calculated volume, the calculation gives 34.453 Å³/atom. The total energy is -4.73 eV/atom.

a = 5.1675 Å, b = 5.1675 Å, c = 25.8047 Å
α = 90.00°, β = 90.00°, γ = 90.00°
Sites, in units of the cell vectors:
1 Tb 0.0000 0.0000 0.0000
2 Pm 0.5000 0.5000 0.0000
3 Pm 0.5000 0.5000 0.1990
4 Pm 0.5000 0.5000 0.3998
5 Pm 0.5000 0.5000 0.6002
6 Pm 0.5000 0.5000 0.8010
7 Pm 0.5000 0.0000 0.0989
8 Pm 0.5000 0.0000 0.2995
9 Pm 0.5000 0.0000 0.5000
10 Pm 0.5000 0.0000 0.7005
11 Pm 0.5000 0.0000 0.9011
12 Pm 0.0000 0.5000 0.0989
13 Pm 0.0000 0.5000 0.2995
14 Pm 0.0000 0.5000 0.5000
15 Pm 0.0000 0.5000 0.7005
16 Pm 0.0000 0.5000 0.9011
17 Nd 0.0000 0.0000 0.1992
18 Nd 0.0000 0.0000 0.3997
19 Nd 0.0000 0.0000 0.6003
20 Nd 0.0000 0.0000 0.8008

Record 10
Below is a relaxed structure of SbTe2RhPb, with properties calculated at the GGA-PBE level.

Results
The space-group type is P4/mmm, No. 123. The excess energy over the best structure of this formula in the dataset is 0.0 meV/atom. The value obtained for the total magnetic moment is 0.0 μB per formula unit. As for the formation energy (no corrections): 124 meV per atom. For the calculated volume, the calculation gives 29.750 Å³/atom. The total energy is -4.17 eV/atom.

a = 5.4948 Å, b = 5.4948 Å, c = 4.9268 Å
α = 90.00°, β = 90.00°, γ = 90.00°
Sites, in units of the cell vectors:
1 Pb 0.5000 0.5000 0.5000
2 Sb 0.0000 0.0000 0.5000
3 Te 0.0000 0.5000 0.0000
4 Te 0.5000 0.0000 0.0000
5 Rh 0.0000 0.0000 0.0000

Record 11
Below is a relaxed structure of Zr2ScAs2, with properties calculated at the GGA-PBE level.

Results
The space-group type is P4/mbm, No. 127. The value obtained for the total magnetic moment is 0.0 μB per formula unit. For the calculated volume, the calculation gives 19.605 Å³/atom. The total energy is -7.60 eV/atom.

a = 7.3289 Å, b = 7.3289 Å, c = 3.6500 Å
α = 90.00°, β = 90.00°, γ = 90.00°
Sites, in units of the cell vectors:
1 Sc 0.0000 0.0000 0.0000
2 Sc 0.5000 0.5000 0.0000
3 As 0.3554 0.8554 0.0000
4 As 0.8554 0.6446 0.0000
5 As 0.6446 0.1446 0.0000
6 As 0.1446 0.3554 0.0000
7 Zr 0.1541 0.6541 0.5000
8 Zr 0.6541 0.8459 0.5000
9 Zr 0.8459 0.3459 0.5000
10 Zr 0.3459 0.1541 0.5000

Record 12
Below is a relaxed structure of YTlNi2, with properties calculated at the GGA-PBE level.

Results
The space-group type is Amm2, No. 38. The value obtained for the total magnetic moment is 0.0 μB per formula unit. For the calculated volume, the calculation gives 18.609 Å³/atom. The total energy is -5.32 eV/atom.

a = 3.9760 Å, b = 3.8363 Å, c = 5.2438 Å
α = 68.53°, β = 90.00°, γ = 90.00°
Sites, in units of the cell vectors:
1 Ni 0.0000 0.1947 0.9857
2 Ni 0.5000 0.0562 0.2620
3 Tl 0.0000 0.4774 0.4199
4 Y 0.5000 0.7717 0.8323

- Look up the calculated volume of the first one.
  17.579 Å³/atom